Entry from Alexandria: YEr8Tm5 after structural relaxation (PBE).

POSCAR file:
```
YEr8Tm5
1.0
7.9433 0.0000 -2.5244
-4.0612 6.6741 -2.9042
0.1791 0.0000 8.3329
Er Tm Y
8 5 1
Cartesian
7.0886 0.5311 2.9271
1.7384 1.7425 1.8962
1.7639 4.0417 -0.8180
1.0003 6.1430 2.8575
4.8124 1.6915 0.2053
-2.3112 4.9826 1.5834
3.8573 2.6324 4.8379
-1.7049 4.9317 -1.8722
3.8302 4.5226 1.9411
-0.9861 2.1515 0.0928
4.0612 0.0000 2.9042
2.0391 0.6491 7.0180
3.2392 6.0250 -3.2434
0.0895 3.3371 4.1665
```

Computed properties:
**Uncorrected energy**: -4.4102 eV per atom

---

Entry from Alexandria: YEr6Tm6 after structural relaxation (PBE).

POSCAR file:
```
YEr6Tm6
1.0
6.5661 -0.0002 0.0000
-3.2824 5.6868 0.0000
0.0000 0.0000 11.2472
Er Y Tm
6 1 6
Cartesian
0.0000 0.0000 7.3577
0.0004 3.7911 5.6236
0.0000 0.0000 3.8895
3.2833 1.8955 0.0000
0.0004 3.7911 0.0000
3.2833 1.8955 5.6236
0.0000 0.0000 0.0000
1.6418 2.8433 2.7257
-1.6412 2.8434 8.5215
-1.6412 2.8434 2.7257
3.2830 -0.0001 8.5215
1.6418 2.8433 8.5214
3.2830 -0.0001 2.7257
```

Computed properties:
**Uncorrected energy**: -4.3888 eV per atom

---

Entry from Alexandria: YErTm4 after structural relaxation (PBE).

POSCAR file:
```
YErTm4
1.0
-1.9753 -1.5110 2.4748
-6.4903 4.1609 -5.1367
4.2296 -9.2310 2.7039
Tm Er Y
4 1 1
Cartesian
-0.3727 -3.4947 0.0485
-3.8632 -3.0862 -0.0064
-4.9742 2.2616 -2.5965
0.7384 -8.8426 2.6387
1.1272 -5.3714 2.5895
-4.2360 -6.5810 0.0420
```

Computed properties:
**Offset from the most stable computed form**: 0 meV per atom
**Uncorrected energy**: -4.7923 eV per atom

---

Entry from Alexandria: Y5Er6Tm2 after structural relaxation (PBE).

POSCAR file:
```
Y5Er6Tm2
1.0
3.5561 0.0000 0.0000
0.0000 11.5183 0.0000
0.0000 0.0000 20.1409
Y Tm Er
10 4 12
Cartesian
1.7780 9.2434 1.0389
1.7780 5.7592 0.0000
1.7780 6.7820 5.5019
1.7780 8.0341 11.1094
1.7780 2.2749 19.1020
1.7780 4.7363 14.6390
1.7780 0.0000 10.0704
1.7780 1.0228 4.5685
1.7780 3.4842 9.0315
1.7780 10.4955 15.5724
0.0000 1.9272 15.9216
0.0000 7.6864 14.2897
0.0000 9.5912 4.2193
0.0000 3.8320 5.8512
0.0000 0.7065 1.6286
1.7780 7.7288 17.3682
1.7780 3.7896 2.7727
0.0000 10.8119 18.5123
1.7780 1.9696 12.8431
0.0000 10.5619 12.7283
0.0000 0.9564 7.4126
1.7780 9.5488 7.2978
0.0000 5.0527 11.6991
0.0000 6.4657 8.4418
0.0000 4.8028 17.4830
0.0000 6.7156 2.6579
```

Computed properties:
**Uncorrected energy**: -5.1766 eV per atom

---

Entry from Alexandria: Y4ErTm4 after structural relaxation (PBE).

POSCAR file:
```
Y4ErTm4
1.0
4.8553 0.0000 1.1476
2.7792 5.3652 -0.9134
-0.3555 -5.8256 12.3489
Y Tm Er
4 4 1
Cartesian
5.6618 -0.3167 8.5799
4.8876 -3.9867 11.8559
2.3915 3.5264 0.7271
1.6172 -0.1437 4.0032
4.4293 1.6961 2.9503
3.6553 -1.9949 6.2251
2.8497 -2.1564 9.6328
3.6237 1.5345 6.3580
2.4277 0.0000 0.5738
```

Computed properties:
**Uncorrected energy**: -5.3373 eV per atom

---

Entry from Alexandria: YErTm2 after structural relaxation (PBE).

POSCAR file:
```
YErTm2
1.0
3.5135 0.0000 0.0000
0.0000 3.5135 0.0000
0.0000 0.0000 9.9450
Er Y Tm
1 1 2
Cartesian
1.7568 1.7568 0.0000
1.7568 1.7568 4.9725
0.0000 0.0000 2.4586
0.0000 0.0000 7.4864
```

Computed properties:
**Offset from the most stable computed form**: 25 meV per atom
**Uncorrected energy**: -4.9650 eV per atom

---

Entry from Alexandria: Y2Er7Tm after structural relaxation (PBE).

POSCAR file:
```
Y2Er7Tm
1.0
-3.4069 -0.5846 -0.4708
2.0440 -14.1617 2.7940
-2.8652 13.8503 3.5356
Er Tm Y
7 1 2
Cartesian
-1.8406 -3.2744 4.4607
-2.8036 2.2205 4.6062
1.1374 -8.9885 2.9309
-1.9586 8.6770 3.3987
-2.3875 2.3784 1.3982
-2.1140 -0.4480 2.9294
-1.4245 -3.1165 1.2527
0.0000 0.0000 0.0000
-1.0870 -6.3085 2.7743
-3.1411 5.4125 3.0846
```

Computed properties:
**Offset from the most stable computed form**: 36 meV per atom
**Uncorrected energy**: -4.7759 eV per atom

---

Entry from Alexandria: Y2Er4Tm after structural relaxation (PBE).

POSCAR file:
```
Y2Er4Tm
1.0
-0.9102 -2.3391 -2.5551
2.5797 -0.8229 2.3447
-14.8374 -6.5628 11.2937
Er Tm Y
4 1 2
Cartesian
-3.5258 -1.5612 2.6852
-12.3538 -6.5707 7.9058
-12.8323 -9.0172 10.3159
-5.9993 -5.1709 6.8709
-9.0504 -6.7871 6.9271
-5.2170 -4.5342 3.4990
-1.3408 -2.2619 0.0379
```

Computed properties:
**Offset from the most stable computed form**: 0 meV per atom
**Uncorrected energy**: -5.0912 eV per atom

---

| no. | M_tot (μB/atom) | formation energy (eV/atom) |
| --- | --- | --- |
| 1 | 0.0002 | 0.26 |
| 2 | 0.1385 | 0.28 |
| 3 | 0.0000 | 0.03 |
| 4 | 0.0000 | 0.10 |
| 5 | 0.0000 | 0.03 |
| 6 | 0.0000 | 0.03 |
| 7 | 0.0000 | 0.16 |
| 8 | 0.0075 | 0.00 |